Entry 1:
A plane-wave DFT calculation with PBE-GGA was carried out for a relaxed structure of K2TiSnSe5.

**SG**: Cmc2_1
**Formation energy from raw total energies**: -0.92 eV per atom

Unit cell a=3.921 b=10.020 c=14.168 alpha=90.00 beta=90.00 gamma=101.28
Atoms (fractional coordinates):
1 K 0.868 0.735 0.808
2 K 0.120 0.240 0.678
3 K 0.132 0.265 0.308
4 K 0.880 0.760 0.178
5 Ti 0.778 0.555 0.532
6 Ti 0.222 0.445 0.032
7 Sn 0.562 0.124 0.931
8 Sn 0.438 0.876 0.431
9 Se 0.337 0.675 0.997
10 Se 0.692 0.385 0.902
11 Se 0.502 0.004 0.778
12 Se 0.290 0.579 0.646
13 Se 0.952 0.903 0.551
14 Se 0.663 0.325 0.497
15 Se 0.308 0.615 0.402
16 Se 0.498 0.996 0.278
17 Se 0.710 0.421 0.146
18 Se 0.048 0.097 0.051

***

Entry 2:
A plane-wave DFT calculation with PBE-GGA was carried out for a relaxed structure of HfUMo2.

**Offset from the most stable computed form**: 25 meV per atom
**SG**: Fm-3m
**ΔE_f**: 0.08 eV/atom

Unit cell a=4.729 b=4.729 c=4.729 alpha=60.00 beta=60.00 gamma=60.00
Each line ends with the local moment (μB).
Atoms (fractional coordinates):
1 Hf 0.500 0.500 0.500  0.01
2 Mo 0.250 0.250 0.250  -0.05
3 Mo 0.750 0.750 0.750  -0.05
4 U 0.000 0.000 0.000  0.34

***

no.,spin magnetization (μB per cell)
1,0.00
2,0.26